This record from Alexandria via LeMat-Bulk describes crystalline Pu2MgMn2Rh5 at its relaxed geometry. The functional is PBE.

Output
ΔE_f = -0.304 eV/atom
crystal system = tetragonal
symmetry = No. 127

Cell lengths 3.9037, 9.2041, 9.2041 Å; angles 90.00, 90.00, 90.00 degrees
With the nearest neighbours (Å) after each atom.
Element x y z (fractional)
Pu: 0.0000 0.6730 0.1730  3 Mn 2.57-2.81
Pu: 0.0000 0.3270 0.8270  3 Mn 2.57-2.81
Pu: 0.0000 0.1730 0.3270  3 Mn 2.57-2.81
Pu: 0.0000 0.8270 0.6730  3 Mn 2.57-2.81
Mg: 0.0000 0.0000 0.0000  8 Rh 2.77
Mg: 0.0000 0.5000 0.5000  8 Rh 2.77
Mn: 0.0000 0.1292 0.6292  6 Rh 2.55-2.58, 3 Pu 2.57-2.81
Mn: 0.0000 0.8708 0.3708  6 Rh 2.55-2.58, 3 Pu 2.57-2.81
Mn: 0.0000 0.6292 0.8708  6 Rh 2.55-2.58, 3 Pu 2.57-2.81
Mn: 0.0000 0.3708 0.1292  6 Rh 2.55-2.58, 3 Pu 2.57-2.81
Rh: 0.5000 0.2021 0.0699  2 Mn 2.55, 2 Mg 2.77, 3 Rh 2.78-2.82
Rh: 0.5000 0.7979 0.9301  2 Mn 2.55, 2 Mg 2.77, 3 Rh 2.78-2.82
Rh: 0.5000 0.0699 0.7979  2 Mn 2.55, 2 Mg 2.77, 3 Rh 2.78-2.82
Rh: 0.5000 0.7021 0.4301  2 Mn 2.55, 2 Mg 2.77, 3 Rh 2.78-2.82
Rh: 0.5000 0.9301 0.2021  2 Mn 2.55, 2 Mg 2.77, 3 Rh 2.78-2.82
Rh: 0.5000 0.2979 0.5699  2 Mn 2.55, 2 Mg 2.77, 3 Rh 2.78-2.82
Rh: 0.5000 0.5699 0.7021  2 Mn 2.55, 2 Mg 2.77, 3 Rh 2.78-2.82
Rh: 0.5000 0.4301 0.2979  2 Mn 2.55, 2 Mg 2.77, 3 Rh 2.78-2.82
Rh: 0.5000 0.5000 0.0000  4 Mn 2.58, 4 Rh 2.82
Rh: 0.5000 0.0000 0.5000  4 Mn 2.58, 4 Rh 2.82